# 1
## MgSnW (PBE-GGA)

Data for a geometry-optimized MgSnW structure.

V	69.9	Å³ per cell
uncorrected energy	-5.291	eV/atom
space-group type	F-43m (216)

```
MgSnW
1.0
2.813 -3.486 1.148
-0.011 -1.654 4.318
-1.748 -4.193 0.865
Mg Sn W
1 1 1
Cartesian
0.264 -2.333 1.583
0.791 -7.000 4.749
0.000 0.000 0.000
```

# 2
## MgSnW2 (PBE-GGA)

Data for a geometry-optimized MgSnW2 structure.

V	69.3	Å³ per cell
uncorrected energy	-7.474	eV/atom
space-group type	F-43m (216)

```
MgSnW2
1.0
0.000 3.260 3.260
3.260 0.000 3.260
3.260 3.260 0.000
Mg Sn W
1 1 2
Cartesian
1.630 1.630 1.630
3.260 3.260 3.260
0.000 0.000 0.000
4.890 4.890 4.890
```

# 3
## Mg2SnW (PBE-GGA)

Data for a geometry-optimized Mg2SnW structure.

V	76.2	Å³ per cell
uncorrected energy	-4.495	eV/atom
space-group type	F-43m (216)

```
Mg2SnW
1.0
-1.356 -0.702 4.507
-0.650 3.719 2.896
-4.393 1.203 1.378
Mg Sn W
2 1 1
Cartesian
0.000 0.000 0.000
-4.800 3.165 6.586
-3.200 2.110 4.390
-1.600 1.055 2.195
```

# 4
## Mg2ZnSn (PBE-GGA)

Data for a geometry-optimized Mg2ZnSn structure.

V	87.1	Å³ per cell
uncorrected energy	-2.068	eV/atom
space-group type	F-43m (216)

```
Mg2ZnSn
1.0
0.000 3.518 3.518
3.518 0.000 3.518
3.518 3.518 0.000
Mg Sn Zn
2 1 1
Cartesian
0.000 0.000 0.000
5.277 5.277 5.277
3.518 3.518 3.518
1.759 1.759 1.759
```

# 5
## MgZrSn2 (PBE-GGA)

Data for a geometry-optimized MgZrSn2 structure.

V	95.8	Å³ per cell
uncorrected energy	-4.374	eV/atom
space-group type	F-43m (216)

```
MgZrSn2
1.0
0.000 3.632 3.632
3.632 0.000 3.632
3.632 3.632 0.000
Mg Sn Zr
1 2 1
Cartesian
5.448 5.448 5.448
0.000 0.000 0.000
1.816 1.816 1.816
3.632 3.632 3.632
```

# 6
## MgZr2Sn (PBE-GGA)

Data for a geometry-optimized MgZr2Sn structure.

V	89.2	Å³ per cell
uncorrected energy	-5.599	eV/atom
space-group type	F-43m (216)

```
MgZr2Sn
1.0
-2.314 0.130 4.448
-4.240 2.622 0.545
-4.364 -2.391 0.627
Mg Sn Zr
1 1 2
Cartesian
-2.730 0.090 1.405
-5.459 0.181 2.810
0.000 0.000 0.000
-8.189 0.271 4.215
```

# 7
## SrTbMg (PBE-GGA)

Data for a geometry-optimized SrTbMg structure.

V	121.1	Å³ per cell
uncorrected energy	-2.212	eV/atom
space-group type	F-43m (216)

```
SrTbMg
1.0
0.000 3.927 3.927
3.927 0.000 3.927
3.927 3.927 0.000
Mg Sr Tb
1 1 1
Cartesian
0.000 0.000 0.000
1.963 1.963 1.963
5.890 5.890 5.890
```

# 8
## Sr2MgTc (PBE-GGA)

Data for a geometry-optimized Sr2MgTc structure.

V	105.6	Å³ per cell
uncorrected energy	-3.130	eV/atom
space-group type	F-43m (216)

```
Sr2MgTc
1.0
4.757 -1.607 -1.715
2.109 -4.500 1.858
0.387 -4.249 -3.154
Mg Sr Tc
1 2 1
Cartesian
0.000 0.000 0.000
1.813 -2.589 -0.753
3.626 -5.178 -1.505
5.440 -7.767 -2.258
```

# 9
## SrTmMg (PBE-GGA)

Data for a geometry-optimized SrTmMg structure.

V	117.8	Å³ per cell
uncorrected energy	-2.137	eV/atom
space-group type	F-43m (216)

```
SrTmMg
1.0
-1.554 -2.522 4.637
-5.068 -2.100 0.425
-0.722 -5.455 0.056
Mg Sr Tm
1 1 1
Cartesian
0.000 0.000 0.000
-1.836 -2.519 1.280
-5.508 -7.558 3.839
```

# 10
## Sr2MgZn7 (PBE-GGA)

Data for a geometry-optimized Sr2MgZn7 structure.

V	213.7	Å³ per cell
uncorrected energy	-1.588	eV/atom
space-group type	P-4m2 (115)

```
Sr2MgZn7
1.0
4.327 0.000 0.000
0.000 4.327 0.000
0.000 0.000 11.412
Mg Sr Zn
1 2 7
Cartesian
2.164 2.164 0.000
0.000 2.164 2.972
2.164 0.000 8.440
0.000 0.000 0.000
2.164 0.000 1.655
2.164 0.000 4.257
0.000 0.000 5.706
2.164 2.164 5.706
0.000 2.164 7.155
0.000 2.164 9.756
```

# 11
## Sr4MgZn (PBE-GGA)

Data for a geometry-optimized Sr4MgZn structure.

V	235.7	Å³ per cell
uncorrected energy	-1.673	eV/atom
space-group type	P4/mmm (123)

```
Sr4MgZn
1.0
-1.979 2.149 2.802
1.930 -2.032 2.921
10.507 9.822 -0.110
Mg Sr Zn
1 4 1
Cartesian
0.000 0.000 0.000
1.533 1.515 2.845
3.895 3.641 -0.041
6.612 6.182 -0.069
8.924 8.425 2.768
5.229 4.970 2.807
```

# 12
## SrMg2Zn2 (PBE-GGA)

Data for a geometry-optimized SrMg2Zn2 structure.

V	120.4	Å³ per cell
uncorrected energy	-1.644	eV/atom
space-group type	I4/mmm (139)

```
SrMg2Zn2
1.0
2.223 -2.941 5.775
-2.955 0.612 6.151
-1.410 -1.360 -6.565
Mg Sr Zn
2 1 2
Cartesian
0.223 -2.733 2.587
-2.366 -0.956 2.774
0.000 0.000 0.000
-0.289 -0.919 4.706
-0.443 -1.410 7.221
```